1.
DFT (GGA-PBE) results for crystalline Sr4PdI5 at its relaxed geometry.

Structure (extended XYZ):
```
10
Lattice="-2.416 -3.649 1.688 -3.109 -1.938 -8.637 9.835 -3.515 -0.038" Properties=species:S:1:pos:R:3 pbc="T T T"
Sr 1.154 -3.619 0.346
Sr -0.709 -0.450 -1.988
Sr 3.156 -5.482 -7.333
Sr 5.020 -8.651 -4.999
Pd -1.208 -1.825 0.844
I 1.845 -2.442 -2.639
I 0.348 -3.468 -6.998
I 3.963 -5.634 0.011
I -2.762 -2.793 -3.475
I 2.466 -6.659 -4.348
```

Calculated values
- density of states at the Fermi level (states/eV/cell) = 3.19
- electronic total energy (eV for the cell shown) = -33.354

***

2.
DFT (GGA-PBE) results for crystalline KSc2Te at its relaxed geometry.

Structure (extended XYZ):
```
4
Lattice="5.286 -0.008 -0.018 3.989 3.469 -0.018 1.434 0.535 7.547" Properties=species:S:1:pos:R:3 pbc="T T T"
K 8.248 3.077 5.538
Sc 9.247 3.450 0.721
Sc 2.592 0.967 1.997
Te 5.253 1.960 2.972
```

Calculated values
- density of states at the Fermi level (states/eV/cell) = 4.38
- electronic total energy (eV for the cell shown) = -17.591

***

3.
DFT (GGA-PBE) results for crystalline BaPrS2 at its relaxed geometry.

Structure (extended XYZ):
```
8
Lattice="4.226 0.000 0.000 -2.113 3.660 0.000 0.000 0.000 14.590" Properties=species:S:1:pos:R:3 pbc="T T T"
Ba 2.113 1.220 3.647
Ba 0.000 2.440 10.942
Pr 0.000 0.000 7.295
Pr 0.000 0.000 0.000
S 0.000 2.440 5.677
S 2.113 1.220 12.972
S 2.113 1.220 8.913
S 0.000 2.440 1.618
```

Calculated values
- density of states at the Fermi level (states/eV/cell) = 2.72
- electronic total energy (eV for the cell shown) = -45.966

***

4.
DFT (GGA-PBE) results for crystalline AcHo2Rh at its relaxed geometry.

Structure (extended XYZ):
```
16
Lattice="-0.099 -2.016 6.227 -6.431 -3.390 -1.200 4.749 -8.107 -2.549" Properties=species:S:1:pos:R:3 pbc="T T T"
Ac -2.340 -5.144 2.706
Ac 0.853 -3.890 4.668
Ac 0.559 -8.369 -0.227
Ac -2.635 -9.622 -2.190
Ho -4.027 -3.178 0.053
Ho 0.894 -4.760 0.768
Ho 0.523 -7.395 3.350
Ho -0.954 -11.693 0.785
Ho 2.245 -10.335 2.426
Ho -2.676 -8.753 1.710
Ho -2.305 -6.118 -0.872
Ho -0.828 -1.820 1.693
Rh -1.281 -3.498 -0.556
Rh -4.529 -5.851 0.878
Rh -0.501 -10.015 3.035
Rh 2.747 -7.661 1.600
```

Calculated values
- density of states at the Fermi level (states/eV/cell) = 16.16
- energy of formation from the pure elements (meV/atom) = -477.9

***

Number 1: calculated volume 434 Å³/cell. Number 2: calculated volume 139 Å³/cell. Number 3: calculated volume 226 Å³/cell. Number 4: calculated volume 470 Å³/cell.